# BMoSe2 | the Alexandria database | GGA-PBE | optimized geometry
data_BMoSe2
_space_group_name_H-M_alt 'R -3 m'
_space_group_IT_number 166
_space_group_name_Hall '-R 3 2"'
_cell_length_a 3.2278
_cell_length_b 3.2278
_cell_length_c 19.7213
_cell_angle_alpha 90.00
_cell_angle_beta 90.00
_cell_angle_gamma 120.00
loop_
_atom_site_label
_atom_site_type_symbol
_atom_site_fract_x
_atom_site_fract_y
_atom_site_fract_z
B1 B 0.0000 0.0000 0.0000
Mo1 Mo 0.0000 0.0000 0.5000
Se1 Se 0.0000 0.0000 0.2625
# Calculated total energy (eV for the cell shown): -67.32


# SnGeHOs2 | the Alexandria database | GGA-PBE | optimized geometry
data_SnGeHOs2
_space_group_name_H-M_alt 'P 4/m m m'
_space_group_IT_number 123
_space_group_name_Hall '-P 4 2'
_cell_length_a 4.237
_cell_length_b 4.237
_cell_length_c 3.760
_cell_angle_alpha 90.00
_cell_angle_beta 90.00
_cell_angle_gamma 90.00
loop_
_atom_site_label
_atom_site_type_symbol
_atom_site_fract_x
_atom_site_fract_y
_atom_site_fract_z
Sn1 Sn 0.000 0.000 0.000
Ge1 Ge 0.500 0.500 0.000
H1 H 0.500 0.500 0.500
Os1 Os 0.000 0.500 0.500
# Calculated total energy (eV for the cell shown): -30.89


# SrLi2Cd2 | the Alexandria database | GGA-PBE | optimized geometry
data_SrLi2Cd2
_space_group_name_H-M_alt 'P 4/m b m'
_space_group_IT_number 127
_space_group_name_Hall '-P 4 2ab'
_cell_length_a 8.402
_cell_length_b 8.402
_cell_length_c 3.436
_cell_angle_alpha 90.00
_cell_angle_beta 90.00
_cell_angle_gamma 90.00
loop_
_atom_site_label
_atom_site_type_symbol
_atom_site_fract_x
_atom_site_fract_y
_atom_site_fract_z
Sr1 Sr 0.000 0.000 0.000
Li1 Li 0.119 0.381 0.000
Cd1 Cd 0.172 0.672 0.500
# ΔE_f (eV/atom): -0.1880
# Relative energy among the computed polymorphs (meV/atom): 18.4
# Calculated total energy (eV for the cell shown): -16.56


Magnetization in Bohr magnetons per cell, matching the order above: 0.00, 0.00, 0.00